Entry 1:
Below is a geometry-optimized TlAgS5 structure, with properties calculated at the PBE level.

```
TlAgS5
1.0
9.403 -1.246 -0.327
-3.389 8.847 -0.333
-0.704 -0.898 5.699
Ag S Tl
2 10 2
Direct
0.500 0.500 0.500
0.000 0.000 0.000
0.592 0.909 0.751
0.008 0.602 0.630
0.182 0.011 0.338
0.992 0.398 0.370
0.408 0.091 0.249
0.102 0.509 0.130
0.511 0.682 0.839
0.898 0.491 0.870
0.818 0.989 0.662
0.489 0.318 0.161
0.224 0.276 0.750
0.776 0.724 0.250
```

Results
Its density of states at the Fermi level is 0.01 states/eV/atom. As for the uncorrected formation energy: 0.0051 eV per atom. The calculation puts the energy at -3.69 eV/atom.



Entry 2:
Below is a geometry-optimized PmPrGdMg structure, with properties calculated at the PBE level.

```
PmPrGdMg
1.0
-1.008 3.898 -3.935
0.196 -1.388 -5.452
-4.745 -0.213 -3.023
Mg Pr Gd Pm
1 1 1 1
Direct
0.000 0.000 0.000
0.750 0.750 0.750
0.500 0.500 0.500
0.250 0.250 0.250
```

Results
Its density of states at the Fermi level is 1.50 states/eV/atom. For the formation energy from the elements, the calculation gives 9.5 kJ/mol of formula units. The value obtained for the energy above the most stable polymorph in this dataset is 0 meV/atom. The calculation puts the energy at -6.28 eV/atom.